Y2Zn16Cd (PBE, relaxed); size of the total moment = 0.00 Bohr magnetons per cell; final energy = -2.0282 eV/atom; energy relative to the elements = -227 meV/atom
1.0
-3.0737 -4.5483 -4.0732
-1.2155 -4.7400 4.7729
-6.4405 1.8184 1.3923
Zn Y Cd
16 2 1
Direct
0.6998 0.9997 0.3004
0.9997 0.3004 0.6998
0.6998 0.3004 0.9997
0.9997 0.6998 0.3004
0.3519 0.3519 0.8361
0.0033 0.4925 0.0033
0.1072 0.1072 0.1072
0.1657 0.6454 0.6454
0.3519 0.8361 0.3519
0.6454 0.6454 0.1657
0.3004 0.6998 0.9997
0.0033 0.0033 0.4925
0.6454 0.1657 0.6454
0.3004 0.9997 0.6998
0.4925 0.0033 0.0033
0.8361 0.3519 0.3519
0.3370 0.3370 0.3370
0.6597 0.6597 0.6597
0.9010 0.9010 0.9010



Y2ZnCd (PBE, relaxed); size of the total moment = 0.74 Bohr magnetons per cell; final energy = -3.8437 eV/atom; energy relative to the elements = -64 meV/atom
1.0
-9.5588 -0.8994 -0.6904
-8.5230 -4.3857 -0.8836
-8.9086 -2.7777 2.3615
Y Cd Zn
2 1 1
Direct
0.2378 0.2378 0.2378
0.0070 0.0070 0.0070
0.7615 0.7615 0.7615
0.4936 0.4936 0.4936



Number 1: theoretical density 7.10 g cm⁻³. Number 2: theoretical density 5.47 g cm⁻³.